Rb2V2PbO6 GGA+U relaxed; VASP energy = -68.8 eV for the cell shown; total magnetic moment = 0.07 Bohr magnetons per cell
1.0
6.3414 0.0000 0.0000
3.1707 5.4918 0.0000
3.1707 1.8306 6.3964
V Pb O Rb
2 1 6 2
direct
0.4311 0.4311 0.7068
0.5689 0.5689 0.2932
0.0000 0.0000 0.0000
0.2620 0.2620 0.7488
0.7380 0.7380 0.2512
0.2620 0.7271 0.7488
0.7380 0.2729 0.2512
0.7271 0.2620 0.7488
0.2729 0.7380 0.2512
0.2120 0.2120 0.3639
0.7880 0.7880 0.6361